[1]
DFT (PBE-GGA) results for a geometry-optimized Pr6TlTe3Pb2 structure.

Unit cell a=10.3108 b=10.3108 c=9.2222 alpha=105.23 beta=105.23 gamma=25.45
Element x y z (fractional)
1 Pr 0.0009 0.0009 0.2480
2 Pr 0.3320 0.3320 0.9216
3 Pr 0.3333 0.3333 0.4171
4 Pr 0.6667 0.6667 0.5829
5 Pr 0.6680 0.6680 0.0784
6 Pr 0.9991 0.9991 0.7520
7 Tl 0.5000 0.5000 0.5000
8 Te 0.1677 0.1677 0.3312
9 Te 0.5000 0.5000 0.0000
10 Te 0.8323 0.8323 0.6688
11 Pb 0.1651 0.1651 0.8291
12 Pb 0.8349 0.8349 0.1709

Properties
Its density of states at the Fermi level is 0.584 states/eV/atom. The value obtained for the total energy is -59.67 eV per formula unit. The density is 7.559 g/cm³. As for the formation energy from raw total energies: -982 meV/atom. Its total magnetization is 0.00 μB/f.u.


[2]
DFT (PBE-GGA) results for a geometry-optimized NbZnNi structure.

Unit cell a=5.8541 b=5.8541 c=3.9509 alpha=90.00 beta=90.00 gamma=140.41
Element x y z (fractional)
1 Nb 0.0944 0.9056 0.7500
2 Nb 0.9056 0.0944 0.2500
3 Zn 0.4038 0.5962 0.7500
4 Zn 0.5962 0.4038 0.2500
5 Ni 0.2508 0.7492 0.2500
6 Ni 0.7492 0.2508 0.7500

Properties
Its density of states at the Fermi level is 1.194 states/eV/atom. The value obtained for the total energy is -17.55 eV per formula unit. The density is 8.351 g/cm³. Its total magnetization is 0.00 μB/f.u.


[3]
DFT (PBE-GGA) results for a geometry-optimized GdZrHgPd structure.

Unit cell a=5.0195 b=5.0195 c=5.0195 alpha=60.00 beta=60.00 gamma=60.00
Element x y z (fractional)
1 Gd 0.0000 0.0000 0.0000
2 Zr 0.5000 0.5000 0.5000
3 Hg 0.2500 0.2500 0.2500
4 Pd 0.7500 0.7500 0.7500

Properties
Its density of states at the Fermi level is 1.161 states/eV/atom. The value obtained for the total energy is -29.67 eV per formula unit. The density is 10.315 g/cm³. Its total magnetization is 8.09 μB/f.u.


[4]
DFT (PBE-GGA) results for a geometry-optimized ZnCrRe2 structure.

Unit cell a=5.0562 b=5.0562 c=2.6325 alpha=100.55 beta=100.55 gamma=116.57
Element x y z (fractional)
1 Zn 0.0000 0.0000 0.0000
2 Cr 0.5000 0.5000 0.0000
3 Re 0.0000 0.5000 0.5000
4 Re 0.5000 0.0000 0.5000

Properties
Its density of states at the Fermi level is 0.951 states/eV/atom. The value obtained for the total energy is -34.70 eV per formula unit. The density is 14.416 g/cm³. Its total magnetization is 1.01 μB/f.u.


[5]
DFT (PBE-GGA) results for a geometry-optimized Li2DyZn2Ga2 structure.

Unit cell a=4.3887 b=4.3887 c=8.0602 alpha=105.97 beta=105.97 gamma=60.04
Element x y z (fractional)
1 Li 0.1381 0.1381 0.4117
2 Li 0.8619 0.8619 0.5883
3 Dy 0.0000 0.0000 0.0000
4 Zn 0.4166 0.4166 0.2483
5 Zn 0.5834 0.5834 0.7517
6 Ga 0.2595 0.2595 0.7803
7 Ga 0.7405 0.7405 0.2197

Properties
Its density of states at the Fermi level is 0.383 states/eV/atom. The value obtained for the total energy is -19.59 eV per formula unit. The density is 5.815 g/cm³. Its total magnetization is 0.00 μB/f.u.


[6]
DFT (PBE-GGA) results for a geometry-optimized La2TbHo4 structure.

Unit cell a=9.5298 b=9.5298 c=9.5298 alpha=146.22 beta=146.22 gamma=48.52
Element x y z (fractional)
1 La 0.1263 0.1263 0.0000
2 La 0.8737 0.8737 0.0000
3 Tb 0.5000 0.5000 0.0000
4 Ho 0.0000 0.5000 0.5000
5 Ho 0.3257 0.3257 0.0000
6 Ho 0.5000 0.0000 0.5000
7 Ho 0.6743 0.6743 0.0000

Properties
Its density of states at the Fermi level is 1.362 states/eV/atom. The value obtained for the total energy is -28.39 eV per formula unit. The density is 6.835 g/cm³. The offset from the most stable computed form comes out at 0.603 eV per atom. Its total magnetization is 0.01 μB/f.u.


[7]
DFT (PBE-GGA) results for a geometry-optimized TaFe2Ir structure.

Unit cell a=4.5949 b=4.5949 c=4.5376 alpha=100.54 beta=100.54 gamma=34.76
Element x y z (fractional)
1 Ta 0.0000 0.0000 0.0000
2 Fe 0.2443 0.2443 0.7408
3 Fe 0.5063 0.5063 0.5200
4 Ir 0.7599 0.7599 0.2892

Properties
Its density of states at the Fermi level is 1.008 states/eV/atom. The value obtained for the total energy is -37.86 eV per formula unit. The density is 15.018 g/cm³. The offset from the most stable computed form comes out at 0.216 eV per atom. Its total magnetization is 0.00 μB/f.u.


[8]
DFT (PBE-GGA) results for a geometry-optimized Zr2Ga4Au structure.

Unit cell a=5.7825 b=5.7730 c=5.8170 alpha=59.86 beta=59.69 gamma=60.45
Element x y z (fractional)
1 Zr 0.0000 0.0000 0.5000
2 Zr 0.5000 0.5000 0.0000
3 Ga 0.0008 0.4995 0.5005
4 Ga 0.4995 0.0008 0.9992
5 Ga 0.5005 0.9994 0.4995
6 Ga 0.9994 0.5005 0.0006
7 Au 0.0000 0.0000 0.0000

Properties
Its density of states at the Fermi level is 0.524 states/eV/atom. The value obtained for the total energy is -35.13 eV per formula unit. The density is 7.962 g/cm³. Its total magnetization is 0.00 μB/f.u.


[9]
DFT (PBE-GGA) results for a geometry-optimized MgGaRu3 structure.

Unit cell a=4.5730 b=4.5730 c=4.5730 alpha=90.00 beta=90.00 gamma=90.00
Element x y z (fractional)
1 Mg 0.0000 0.0000 0.0000
2 Ga 0.5000 0.5000 0.5000
3 Ru 0.0000 0.5000 0.5000
4 Ru 0.5000 0.0000 0.5000
5 Ru 0.5000 0.5000 0.0000

Properties
Its density of states at the Fermi level is 1.360 states/eV/atom. The value obtained for the total energy is -27.31 eV per formula unit. The density is 6.898 g/cm³. The offset from the most stable computed form comes out at 0.000 eV per atom. Its total magnetization is 2.55 μB/f.u.


[10]
DFT (PBE-GGA) results for a geometry-optimized CuOs2Se structure.

Unit cell a=8.2452 b=8.2452 c=8.2452 alpha=20.16 beta=20.16 gamma=20.16
Element x y z (fractional)
1 Cu 0.0000 0.0000 0.0000
2 Os 0.2479 0.2479 0.2479
3 Os 0.7521 0.7521 0.7521
4 Se 0.5000 0.5000 0.5000

Properties
Its density of states at the Fermi level is 1.069 states/eV/atom. The value obtained for the total energy is -27.33 eV per formula unit. The density is 14.908 g/cm³. As for the formation energy from raw total energies: 679 meV/atom. Its total magnetization is 0.00 μB/f.u.


[11]
DFT (PBE-GGA) results for a geometry-optimized Li7TlPb2 structure.

Unit cell a=4.7650 b=4.7650 c=10.3703 alpha=90.00 beta=90.00 gamma=120.00
Element x y z (fractional)
1 Li 0.0000 0.0000 0.0000
2 Li 0.0000 0.0000 0.2412
3 Li 0.0000 0.0000 0.7524
4 Li 0.3333 0.6667 0.4396
5 Li 0.3333 0.6667 0.8217
6 Li 0.6667 0.3333 0.3217
7 Li 0.6667 0.3333 0.6072
8 Tl 0.6667 0.3333 0.9104
9 Pb 0.0000 0.0000 0.4972
10 Pb 0.3333 0.6667 0.1210

Properties
Its density of states at the Fermi level is 0.411 states/eV/atom. The value obtained for the total energy is -25.07 eV per formula unit. The density is 5.435 g/cm³. Its total magnetization is 0.00 μB/f.u.


[12]
DFT (PBE-GGA) results for a geometry-optimized KLiMn2 structure.

Unit cell a=3.0779 b=5.0435 c=5.5892 alpha=90.00 beta=90.00 gamma=90.00
Element x y z (fractional)
1 K 0.0000 0.0000 0.0000
2 Li 0.5000 0.5000 0.0000
3 Mn 0.0000 0.5000 0.5000
4 Mn 0.5000 0.0000 0.5000

Properties
Its density of states at the Fermi level is 0.915 states/eV/atom. The value obtained for the total energy is -17.72 eV per formula unit. The density is 2.984 g/cm³. The offset from the most stable computed form comes out at 0.247 eV per atom. Its total magnetization is 7.85 μB/f.u.